Entry 1:
{
  "formula": "AlVP",
  "functional": "GGA-PBE",
  "state": "optimized geometry",
  "lattice": [[3.1046, 0.0000, 0.0000], [0.0000, 3.1046, 0.0000], [-1.5523, -1.5523, 4.1709]],
  "species": ["P", "Al", "V"],
  "frac_coords": [[0.3175, 0.3175, 0.6350], [0.9980, 0.9980, 0.9961], [0.6844, 0.6844, 0.3689]],
  "e_tot_ev_per_atom": -6.584
}

Entry 2:
{
  "formula": "AlV3P",
  "functional": "GGA-PBE",
  "state": "optimized geometry",
  "lattice": [[-0.0507, 1.0863, 3.9124], [-4.9651, -1.7795, 0.4295], [2.8559, -5.3486, 1.5223]],
  "species": ["Al", "Al", "V", "V", "V", "V", "V", "V", "P", "P"],
  "frac_coords": [[0.3756, 0.2337, 0.8073], [0.8756, 0.1191, 0.0943], [0.3757, 0.4149, 0.2453], [0.3756, 0.7963, 0.0222], [0.8756, 0.3720, 0.5003], [0.8756, 0.9379, 0.6563], [0.8756, 0.5565, 0.8792], [0.3756, 0.9808, 0.4012], [0.3756, 0.6396, 0.6361], [0.8756, 0.7132, 0.2654]],
  "e_tot_ev_per_atom": -7.680,
  "de_polymorph_ev_per_atom": 0.000
}